[1]
An optimized crystal structure of Ca4SBr6, computed with GGA-PBE.

Computed properties:
* raw total energy: -4.000 eV/atom
* SG: P4_2/nmc (137)
* uncorrected formation energy: -1.984 eV/atom
* M_tot: 0.1 μB per formula unit

Cell and atoms, written as POSCAR:
```
Ca4SBr6
1.0
9.7434 0.0000 0.0000
0.0000 9.7434 0.0000
0.0000 0.0000 7.0927
Ca S Br
8 2 12
direct
0.0022 0.2500 0.0777
0.2500 0.0022 0.5777
0.2500 0.4978 0.5777
0.4978 0.2500 0.0777
0.5022 0.7500 0.9223
0.7500 0.5022 0.4223
0.7500 0.9978 0.4223
0.9978 0.7500 0.9223
0.2500 0.7500 0.7500
0.7500 0.2500 0.2500
0.0424 0.5424 0.2500
0.0424 0.9576 0.2500
0.2500 0.2500 0.3511
0.2500 0.2500 0.8511
0.4576 0.5424 0.2500
0.4576 0.9576 0.2500
0.5424 0.0424 0.7500
0.5424 0.4576 0.7500
0.7500 0.7500 0.1489
0.7500 0.7500 0.6489
0.9576 0.0424 0.7500
0.9576 0.4576 0.7500
```


[2]
An optimized crystal structure of YBe4Tc, computed with GGA-PBE.

Computed properties:
* raw total energy: -5.318 eV/atom
* SG: F-43m (216)
* formation energy: -2.8 kJ/mol of atoms
* M_tot: 1.1 μB per formula unit

Cell and atoms, written as POSCAR:
```
YBe4Tc
1.0
0.0000 3.3306 3.3306
3.3306 0.0000 3.3306
3.3306 3.3306 0.0000
Y Be Tc
1 4 1
direct
0.0000 0.0000 0.0000
0.1348 0.6217 0.6217
0.6217 0.1348 0.6217
0.6217 0.6217 0.1348
0.6217 0.6217 0.6217
0.2500 0.2500 0.2500
```


[3]
An optimized crystal structure of Nd6Sm3Y2Sc, computed with GGA-PBE.

Computed properties:
* raw total energy: -5.144 eV/atom
* SG: C2/m (12)
* formation energy: 2.3 kJ/mol of atoms
* M_tot: 0.0 μB per formula unit

Cell and atoms, written as POSCAR:
```
Nd6Sm3Y2Sc
1.0
3.1407 -5.4418 0.0000
3.1407 5.4418 0.0000
-2.0907 0.0000 11.7034
Nd Sm Y Sc
6 3 2 1
direct
0.0815 0.4109 0.2453
0.2481 0.2481 0.7542
0.4109 0.0815 0.2453
0.5891 0.9185 0.7547
0.7519 0.7519 0.2458
0.9185 0.5891 0.7547
0.1666 0.8334 0.5000
0.5000 0.5000 0.5000
0.8334 0.1666 0.5000
0.3335 0.6665 0.0000
0.6665 0.3335 0.0000
0.0000 0.0000 0.0000
```